Entry 1:
Material: PbS2
Method: DFT, PBE-GGA
State: optimized geometry

N(E_F)	0.00	states/eV per atom
SG	P-3m1
raw formation energy	0.041	eV per atom
crystal system	trigonal

Cell: 3.875 3.875 5.983 Å, 90.00 90.00 120.00°
Element x y z (fractional)
S1 0.667 0.333 0.743
S2 0.333 0.667 0.257
Pb1 0.000 0.000 0.000

=====

Entry 2:
Material: PbS
Method: DFT, PBE-GGA
State: optimized geometry

N(E_F)	0.00	states/eV per atom
SG	I-43m
raw formation energy	-0.358	eV per atom
crystal system	cubic

Cell: 9.409 9.409 9.409 Å, 90.00 90.00 90.00°
Element x y z (fractional)
Pb1 0.355 0.645 0.645
Pb2 0.645 0.645 0.355
Pb3 0.145 0.145 0.855
Pb4 0.145 0.855 0.145
Pb5 0.355 0.355 0.355
Pb6 0.645 0.355 0.645
Pb7 0.855 0.145 0.145
Pb8 0.855 0.855 0.855
S1 0.149 0.149 0.149
S2 0.149 0.851 0.851
S3 0.351 0.351 0.649
S4 0.649 0.649 0.649
S5 0.351 0.649 0.351
S6 0.649 0.351 0.351
S7 0.851 0.149 0.851
S8 0.851 0.851 0.149

=====

Entry 3:
Material: PbS
Method: DFT, PBE-GGA
State: optimized geometry

N(E_F)	0.00	states/eV per atom
SG	Pmn2_1
raw formation energy	-0.370	eV per atom
crystal system	orthorhombic

Cell: 12.028 4.091 8.300 Å, 90.00 90.00 90.00°
Element x y z (fractional)
S1 0.307 0.506 0.132
S2 0.000 0.910 0.334
S3 0.193 0.494 0.632
S4 0.807 0.494 0.632
S5 0.693 0.506 0.132
S6 0.500 0.090 0.834
Pb1 0.279 0.979 0.874
Pb2 0.000 0.890 0.655
Pb3 0.721 0.979 0.874
Pb4 0.779 0.021 0.374
Pb5 0.500 0.110 0.155
Pb6 0.221 0.021 0.374

=====

Entry 4:
Material: Sb2Pb2S5
Method: DFT, PBE-GGA
State: optimized geometry

SG	Pnma
raw formation energy	-0.374	eV per atom
crystal system	orthorhombic

Cell: 4.021 11.320 20.970 Å, 90.00 90.00 90.00°
Element x y z (fractional)
S1 0.250 0.141 0.482
S2 0.750 0.933 0.920
S3 0.750 0.250 0.829
S4 0.750 0.997 0.232
S5 0.250 0.497 0.268
S6 0.750 0.567 0.420
S7 0.750 0.503 0.732
S8 0.750 0.859 0.518
S9 0.250 0.750 0.171
S10 0.250 0.067 0.080
S11 0.750 0.641 0.018
S12 0.250 0.823 0.370
S13 0.750 0.177 0.630
S14 0.250 0.677 0.870
S15 0.250 0.750 0.671
S16 0.750 0.323 0.130
S17 0.250 0.003 0.768
S18 0.750 0.250 0.329
S19 0.250 0.433 0.580
S20 0.250 0.359 0.982
Sb1 0.750 0.203 0.033
Sb2 0.250 0.703 0.467
Sb3 0.750 0.881 0.135
Sb4 0.250 0.381 0.365
Sb5 0.250 0.119 0.865
Sb6 0.750 0.297 0.533
Sb7 0.250 0.797 0.967
Sb8 0.750 0.619 0.635
Pb1 0.250 0.172 0.206
Pb2 0.750 0.828 0.794
Pb3 0.750 0.672 0.294
Pb4 0.250 0.991 0.590
Pb5 0.250 0.509 0.090
Pb6 0.750 0.491 0.910
Pb7 0.750 0.009 0.410
Pb8 0.250 0.328 0.706

=====

Entry 5:
Material: SbPb2S
Method: DFT, PBE-GGA
State: optimized geometry

N(E_F)	0.17	states/eV per atom
SG	P4/mmm
raw formation energy	-0.093	eV per atom
crystal system	tetragonal

Cell: 3.608 3.608 8.335 Å, 90.00 90.00 90.00°
Element x y z (fractional)
Sb1 0.500 0.500 0.500
Pb1 0.000 0.000 0.212
Pb2 0.000 0.000 0.788
S1 0.500 0.500 0.000

=====

Entry 6:
Material: Sb2Pb2S
Method: DFT, PBE-GGA
State: optimized geometry

N(E_F)	0.52	states/eV per atom
SG	P4/mbm
raw formation energy	0.167	eV per atom
crystal system	tetragonal

Cell: 7.787 7.787 4.852 Å, 90.00 90.00 90.00°
Element x y z (fractional)
S1 0.000 0.000 0.000
S2 0.500 0.500 0.000
Pb1 0.147 0.647 0.500
Pb2 0.647 0.853 0.500
Pb3 0.353 0.147 0.500
Pb4 0.853 0.353 0.500
Sb1 0.327 0.827 0.000
Sb2 0.827 0.673 0.000
Sb3 0.673 0.173 0.000
Sb4 0.173 0.327 0.000

=====

Entry 7:
Material: SbPbS3
Method: DFT, PBE-GGA
State: optimized geometry

N(E_F)	0.31	states/eV per atom
SG	Pnma
raw formation energy	-0.274	eV per atom
crystal system	orthorhombic

Cell: 3.957 8.435 14.562 Å, 90.00 90.00 90.00°
Element x y z (fractional)
Pb1 0.250 0.970 0.326
Pb2 0.750 0.530 0.826
Pb3 0.250 0.470 0.174
Pb4 0.750 0.030 0.674
S1 0.250 0.647 0.999
S2 0.750 0.353 0.001
S3 0.250 0.025 0.114
S4 0.250 0.799 0.715
S5 0.250 0.147 0.501
S6 0.750 0.975 0.886
S7 0.750 0.853 0.499
S8 0.750 0.201 0.285
S9 0.750 0.701 0.215
S10 0.250 0.525 0.386
S11 0.750 0.475 0.614
S12 0.250 0.299 0.785
Sb1 0.750 0.333 0.441
Sb2 0.250 0.167 0.941
Sb3 0.750 0.833 0.059
Sb4 0.250 0.667 0.559

=====

Entry 8:
Material: SbPb3S4
Method: DFT, PBE-GGA
State: optimized geometry

N(E_F)	0.11	states/eV per atom
SG	Pmn2_1
raw formation energy	-0.306	eV per atom
crystal system	orthorhombic

Cell: 6.151 10.311 7.994 Å, 90.00 90.00 90.00°
Element x y z (fractional)
Pb1 0.559 0.856 0.000
Pb2 0.071 0.661 0.263
Pb3 0.059 0.144 0.500
Pb4 0.071 0.661 0.737
Pb5 0.571 0.339 0.237
Pb6 0.571 0.339 0.763
Sb1 0.048 0.176 0.000
Sb2 0.548 0.824 0.500
S1 0.088 0.333 0.763
S2 0.588 0.667 0.737
S3 0.602 0.169 0.500
S4 0.588 0.667 0.263
S5 0.102 0.831 0.000
S6 0.490 0.151 0.000
S7 0.990 0.849 0.500
S8 0.088 0.333 0.237